DyMgOs4 | GGA-PBE | optimized geometry

a = 5.282 Å, b = 5.282 Å, c = 5.282 Å
α = 60.00°, β = 60.00°, γ = 60.00°
Positions (direct):
Os  0.625  0.124  0.625
Os  0.625  0.625  0.124
Mg  0.000  0.000  0.000
Os  0.124  0.625  0.625
Dy  0.250  0.250  0.250
Os  0.625  0.625  0.625

- space-group type = No. 216
- energy of formation (eV per formula unit) = -0.188